DFT (GGA-PBE) results for an optimized crystal structure of MnCoSbTe2.

Summary:
calculated density = 6.6 g cm⁻³
total energy = -4.3874 eV/atom
volume = 123.7 Å³ per cell
ΔE_f (raw) = 949 meV/atom

abc: 5.041 5.041 4.867
angles: 90.00 90.00 90.00
Each line ends with the local moment (μB).
Sites, in units of the cell vectors:
Sb 0.000 0.000 0.500  -0.05
Te 0.000 0.500 0.000  -0.01
Te 0.500 0.000 0.000  -0.01
Co 0.500 0.500 0.500  2.00
Mn 0.000 0.000 0.000  0.34